Entry 1:
Eu2PuRh | PBE | relaxed Values from VASP.

## Properties
Symmetry: R-3m
DOS at the Fermi energy (states/eV per cell): 23.2
Energy of formation from the pure elements (eV/f.u.): 0.38
M_tot (Bohr magnetons per cell): 7.4

```
&SYSTEM
  ibrav = 0, nat = 4, ntyp = 3
/
ATOMIC_SPECIES
Eu 151.96 Eu.upf
Pu 244.00 Pu.upf
Rh 102.91 Rh.upf
CELL_PARAMETERS angstrom
1.856 1.071 10.079
-1.856 1.071 10.079
0.000 -2.143 10.079
ATOMIC_POSITIONS angstrom
Eu 0.000 0.000 6.915
Eu 0.000 0.000 23.323
Pu 0.000 0.000 0.000
Rh 0.000 0.000 15.119
```

=====

Entry 2:
SiHg2Pb | PBE | relaxed Values from VASP.

## Properties
Symmetry: F-43m
Formation energy from raw total energies (eV per atom): 0.3471
DOS at the Fermi energy (states/eV per cell): 1.3
M_tot (Bohr magnetons per cell): 0.0

```
&SYSTEM
  ibrav = 0, nat = 4, ntyp = 3
/
ATOMIC_SPECIES
Si 28.09 Si.upf
Hg 200.59 Hg.upf
Pb 207.20 Pb.upf
CELL_PARAMETERS angstrom
0.000 3.671 3.671
3.671 0.000 3.671
3.671 3.671 0.000
ATOMIC_POSITIONS angstrom
Si 0.000 0.000 0.000
Hg 1.835 1.835 1.835
Hg 3.671 3.671 3.671
Pb 5.506 5.506 5.506
```

=====

Entry 3:
RbSNO2 | PBE | relaxed Values from VASP.

## Properties
Symmetry: P4/mmm
Formation energy from raw total energies (eV per atom): 1.9525
DOS at the Fermi energy (states/eV per cell): 4.6
M_tot (Bohr magnetons per cell): 8.0

```
&SYSTEM
  ibrav = 0, nat = 5, ntyp = 4
/
ATOMIC_SPECIES
Rb 85.47 Rb.upf
S 32.06 S.upf
N 14.01 N.upf
O 16.00 O.upf
CELL_PARAMETERS angstrom
5.224 0.000 0.000
0.000 5.224 0.000
0.000 0.000 5.613
ATOMIC_POSITIONS angstrom
Rb 0.000 0.000 0.000
S 2.612 2.612 2.806
N 0.000 0.000 2.806
O 0.000 2.612 0.000
O 2.612 0.000 0.000
```

=====

Entry 4:
V2Cu2PdS6 | PBE | relaxed Values from VASP.

## Properties
Symmetry: C2/m
Formation energy from raw total energies (eV per atom): -0.4280
DOS at the Fermi energy (states/eV per cell): 7.4
M_tot (Bohr magnetons per cell): 0.0

```
&SYSTEM
  ibrav = 0, nat = 11, ntyp = 4
/
ATOMIC_SPECIES
V 50.94 V.upf
Cu 63.55 Cu.upf
Pd 106.42 Pd.upf
S 32.06 S.upf
CELL_PARAMETERS angstrom
2.817 -5.348 0.000
2.817 5.348 0.000
-1.501 0.000 5.934
ATOMIC_POSITIONS angstrom
V 2.817 3.952 0.000
V 2.817 -3.952 0.000
Cu 2.067 1.783 2.967
Cu 2.067 -1.783 2.967
Pd 2.817 0.000 0.000
S 0.330 2.049 4.593
S 0.942 0.000 1.568
S 0.330 -2.049 4.593
S 3.805 2.049 1.341
S 3.193 0.000 4.366
S 3.805 -2.049 1.341
```

=====

Entry 5:
GaFeCoRe | PBE | relaxed Values from VASP.

## Properties
Symmetry: F-43m
DOS at the Fermi energy (states/eV per cell): 2.8
Energy of formation from the pure elements (eV/f.u.): 0.25
M_tot (Bohr magnetons per cell): 2.8

```
&SYSTEM
  ibrav = 0, nat = 4, ntyp = 4
/
ATOMIC_SPECIES
Ga 69.72 Ga.upf
Fe 55.84 Fe.upf
Co 58.93 Co.upf
Re 186.21 Re.upf
CELL_PARAMETERS angstrom
0.000 2.933 2.933
2.933 0.000 2.933
2.933 2.933 0.000
ATOMIC_POSITIONS angstrom
Ga 0.000 0.000 0.000
Fe 4.399 4.399 4.399
Co 1.466 1.466 1.466
Re 2.933 2.933 2.933
```

=====

Entry 6:
ZrOsSe | PBE | relaxed Values from VASP.

## Properties
Symmetry: P3m1
Formation energy from raw total energies (eV per atom): 0.0520
DOS at the Fermi energy (states/eV per cell): 2.9
M_tot (Bohr magnetons per cell): 0.0

```
&SYSTEM
  ibrav = 0, nat = 3, ntyp = 3
/
ATOMIC_SPECIES
Zr 91.22 Zr.upf
Os 190.23 Os.upf
Se 78.96 Se.upf
CELL_PARAMETERS angstrom
3.309 0.000 0.000
-1.655 2.866 0.000
0.000 0.000 6.223
ATOMIC_POSITIONS angstrom
Zr 0.000 0.000 0.000
Os 1.655 0.955 1.842
Se 0.000 1.911 4.151
```